Material: LaAgIr
Method: DFT, PBE
State: optimized geometry

Cell: 4.614 4.614 3.789 Å, 90.00 90.00 120.00°
Positions (direct):
Ir 0.667 0.333 0.167
Ag 0.000 0.000 0.166
La 0.333 0.667 0.666

DFT total energy: -5.769 eV per atom
Density of states at the Fermi level: 1.9 states/eV/f.u.
Energy relative to the lowest polymorph listed for this composition: 0.195 eV per atom
Energy of formation: -223 meV per atom

=====

Material: Mo2PbAu
Method: DFT, PBE
State: optimized geometry

Cell: 5.080 5.080 5.162 Å, 77.59 77.59 37.77°
Positions (direct):
Au 0.250 0.250 0.250
Mo 0.995 0.995 0.072
Mo 0.505 0.505 0.428
Pb 0.750 0.750 0.750

DFT total energy: -6.688 eV per atom
Density of states at the Fermi level: 3.3 states/eV/f.u.
Energy of formation: 474 meV per atom

=====

Material: Ac2Pm3Y8
Method: DFT, PBE
State: optimized geometry

Cell: 5.615 7.837 11.502 Å, 109.92 90.02 90.00°
Positions (direct):
Ac 0.500 0.240 0.479
Ac 0.500 0.760 0.521
Pm 0.500 0.000 0.000
Pm 0.000 0.296 0.000
Pm 0.000 0.704 0.000
Y 0.000 0.655 0.309
Y 0.000 0.345 0.691
Y 0.000 0.121 0.241
Y 0.000 0.879 0.759
Y 0.500 0.608 0.794
Y 0.500 0.185 0.794
Y 0.500 0.815 0.206
Y 0.500 0.392 0.206

DFT total energy: -5.461 eV per atom
Density of states at the Fermi level: 23.5 states/eV/f.u.
Energy of formation: 245 meV per atom

=====

Material: ReSiP2
Method: DFT, PBE
State: optimized geometry

Cell: 2.947 2.947 6.537 Å, 90.00 90.00 90.00°
Positions (direct):
P 0.000 0.000 0.027
P 0.000 0.000 0.473
Re 0.500 0.500 0.250
Si 0.500 0.500 0.750

DFT total energy: -7.019 eV per atom
Density of states at the Fermi level: 1.5 states/eV/f.u.
E_form (uncorrected): 154 meV per atom

=====

Material: K2NpO6
Method: DFT, PBE
State: optimized geometry

Cell: 5.458 5.795 7.155 Å, 117.46 64.16 96.41°
Site moments in Bohr magnetons follow the coordinates.
Positions (direct):
K 0.664 0.335 0.661  0.00
K 0.336 0.665 0.339  0.00
Np 0.000 0.000 0.000  -0.02
O 0.193 0.102 0.762  0.02
O 0.948 0.346 0.241  0.02
O 0.807 0.898 0.238  0.02
O 0.578 0.099 0.000  0.37
O 0.052 0.654 0.759  0.02
O 0.422 0.901 0.000  0.37

DFT total energy: -6.892 eV per atom
Density of states at the Fermi level: 0.3 states/eV/f.u.
Energy relative to the lowest polymorph listed for this composition: 0.000 eV per atom
E_form (uncorrected): -1905 meV per atom

=====

Material: RbAsH2S
Method: DFT, PBE
State: optimized geometry

Cell: 3.990 7.365 3.990 Å, 90.00 90.00 90.00°
Site moments in Bohr magnetons follow the coordinates.
Positions (direct):
H 0.000 0.000 0.500  -0.08
H 0.500 0.000 0.000  -0.13
As 0.000 0.500 0.000  0.07
S 0.500 0.500 0.500  0.01
Rb 0.000 0.000 0.000  -0.10

DFT total energy: -2.250 eV per atom
Density of states at the Fermi level: 2.1 states/eV/f.u.